PBE+U InCoF3, relaxed; D(E_F) = 2.6 states/eV per cell; total moment = 3.03 Bohr magnetons per cell; energy above the most stable polymorph in this dataset = 48.32 kJ/mol of atoms; energy = -3.910 eV per atom
1.0
4.390 0.000 0.000
0.000 4.390 0.000
0.000 0.000 4.390
F Co In
3 1 1
direct
0.000 0.500 0.000
0.000 0.000 0.500
0.500 0.000 0.000
0.500 0.500 0.500
0.000 0.000 0.000